! ScW2Br (PBE-GGA, optimized geometry); values from VASP
&SYSTEM
  ibrav = 0, nat = 4, ntyp = 3
/
ATOMIC_SPECIES
Sc 44.96 Sc.upf
W 183.84 W.upf
Br 79.90 Br.upf
ATOMIC_POSITIONS angstrom
Sc 0.000 0.000 0.000
W 1.654 1.654 1.654
W 3.307 3.307 3.307
Br 4.961 4.961 4.961
CELL_PARAMETERS angstrom
0.000 3.307 3.307
3.307 0.000 3.307
3.307 3.307 0.000
! Space-group type: F-43m
! Energy above the lowest structure with this stoichiometry, eV per atom: 0.762

! ScW2Br (PBE-GGA, optimized geometry); values from VASP
&SYSTEM
  ibrav = 0, nat = 4, ntyp = 3
/
ATOMIC_SPECIES
Sc 44.96 Sc.upf
W 183.84 W.upf
Br 79.90 Br.upf
ATOMIC_POSITIONS angstrom
Sc 0.000 0.000 0.000
W 1.642 0.000 2.359
W 1.642 0.000 6.975
Br 0.000 0.000 4.667
CELL_PARAMETERS angstrom
1.642 -2.401 0.000
1.642 2.401 0.000
0.000 0.000 9.334
! Space-group type: Cmmm
! Energy above the lowest structure with this stoichiometry, eV per atom: 0.769

! Sc3WBr (PBE-GGA, optimized geometry); values from VASP
&SYSTEM
  ibrav = 0, nat = 5, ntyp = 3
/
ATOMIC_SPECIES
Sc 44.96 Sc.upf
W 183.84 W.upf
Br 79.90 Br.upf
ATOMIC_POSITIONS angstrom
Sc 0.000 0.000 2.594
Sc 0.000 2.594 0.000
Sc 2.594 0.000 0.000
W 0.000 0.000 0.000
Br 2.594 2.594 2.594
CELL_PARAMETERS angstrom
5.188 0.000 0.000
0.000 5.188 0.000
0.000 0.000 5.188
! Space-group type: Pm-3m
! Energy above the lowest structure with this stoichiometry, eV per atom: 0.000

! ScW2Br (PBE-GGA, optimized geometry); values from VASP
&SYSTEM
  ibrav = 0, nat = 4, ntyp = 3
/
ATOMIC_SPECIES
Sc 44.96 Sc.upf
W 183.84 W.upf
Br 79.90 Br.upf
ATOMIC_POSITIONS angstrom
Sc 0.000 0.000 0.000
W 0.000 0.000 5.386
W 1.656 0.000 7.312
Br 1.656 0.000 2.042
CELL_PARAMETERS angstrom
1.656 -2.543 0.000
1.656 2.543 0.000
0.000 0.000 9.601
! Space-group type: Cmm2
! Energy above the lowest structure with this stoichiometry, eV per atom: 0.151

! ScW2Br (PBE-GGA, optimized geometry); values from VASP
&SYSTEM
  ibrav = 0, nat = 4, ntyp = 3
/
ATOMIC_SPECIES
Sc 44.96 Sc.upf
W 183.84 W.upf
Br 79.90 Br.upf
ATOMIC_POSITIONS angstrom
Sc 0.000 0.000 0.000
W 1.301 2.378 1.479
W 1.301 -2.378 1.479
Br 2.602 0.000 0.000
CELL_PARAMETERS angstrom
2.602 -4.757 0.000
2.602 4.757 0.000
0.000 0.000 2.958
! Space-group type: Cmmm
! Energy above the lowest structure with this stoichiometry, eV per atom: 0.739

! ScW2Br (PBE-GGA, optimized geometry); values from VASP
&SYSTEM
  ibrav = 0, nat = 4, ntyp = 3
/
ATOMIC_SPECIES
Sc 44.96 Sc.upf
W 183.84 W.upf
Br 79.90 Br.upf
ATOMIC_POSITIONS angstrom
Sc 0.000 0.000 0.000
W 0.000 2.186 2.615
W 1.592 0.000 2.615
Br 1.592 2.186 0.000
CELL_PARAMETERS angstrom
3.184 0.000 0.000
0.000 4.371 0.000
0.000 0.000 5.230
! Space-group type: Pmmm
! Energy above the lowest structure with this stoichiometry, eV per atom: 0.467

Which of these has the highest energy above the lowest structure with this stoichiometry? number 2

What did the first record say?
! ScW2Br (PBE-GGA, optimized geometry); values from VASP
&SYSTEM
  ibrav = 0, nat = 4, ntyp = 3
/
ATOMIC_SPECIES
Sc 44.96 Sc.upf
W 183.84 W.upf
Br 79.90 Br.upf
ATOMIC_POSITIONS angstrom
Sc 0.000 0.000 0.000
W 1.654 1.654 1.654
W 3.307 3.307 3.307
Br 4.961 4.961 4.961
CELL_PARAMETERS angstrom
0.000 3.307 3.307
3.307 0.000 3.307
3.307 3.307 0.000
! Space-group type: F-43m
! Energy above the lowest structure with this stoichiometry, eV per atom: 0.762